[1]
Compound: CeFeTc
Source: Alexandria via LeMat-Bulk
Functional: PBE
Structure: optimized geometry

a b c (Å): 5.0901 5.3885 5.3885
angles (deg): 56.46 61.82 61.82
With the nearest neighbours (Å) after each atom.
Fractional positions:
1 Ce 0.8736 0.3764 0.3764  6 Fe 3.02-3.27, 6 Tc 3.02-3.25, 4 Ce 3.23-3.26
2 Ce 0.1264 0.6236 0.6236  6 Fe 3.02-3.27, 6 Tc 3.02-3.25, 4 Ce 3.23-3.26
3 Fe 0.0000 0.0000 0.0000  2 Fe 2.55, 4 Tc 2.69
4 Fe 0.5000 0.0000 0.0000  2 Fe 2.55, 4 Tc 2.69
5 Tc 0.5000 0.5000 0.0000  2 Tc 2.55, 4 Fe 2.69
6 Tc 0.5000 0.0000 0.5000  2 Tc 2.55, 4 Fe 2.69

Computed properties:
* energy of formation: -7.2 kJ/mol of atoms
* ΔE to the lowest computed polymorph: 0.00 eV/f.u.

[2]
Compound: Ce12FeTc6
Source: Alexandria via LeMat-Bulk
Functional: PBE
Structure: optimized geometry

a b c (Å): 8.0267 8.0267 8.0267
angles (deg): 98.96 98.96 98.96
With the nearest neighbours (Å) after each atom.
Fractional positions:
1 Ce 0.8064 0.5993 0.4262  1 Tc 2.43
2 Ce 0.4262 0.8064 0.5993  1 Tc 2.43
3 Ce 0.5993 0.4262 0.8064  1 Tc 2.43
4 Ce 0.1936 0.4007 0.5738  1 Tc 2.43
5 Ce 0.5738 0.1936 0.4007  1 Tc 2.43
6 Ce 0.4007 0.5738 0.1936  1 Tc 2.43
7 Ce 0.1020 0.9603 0.3156  1 Tc 2.48, 1 Fe 2.62
8 Ce 0.0397 0.6844 0.8980  1 Tc 2.48, 1 Fe 2.62
9 Ce 0.6844 0.8980 0.0397  1 Tc 2.48, 1 Fe 2.62
10 Ce 0.8980 0.0397 0.6844  1 Tc 2.48, 1 Fe 2.62
11 Ce 0.9603 0.3156 0.1020  1 Tc 2.48, 1 Fe 2.62
12 Ce 0.3156 0.1020 0.9603  1 Tc 2.48, 1 Fe 2.62
13 Fe 0.0000 0.0000 0.0000  6 Ce 2.62
14 Tc 0.7220 0.8753 0.4094  2 Ce 2.43-2.48
15 Tc 0.5906 0.2780 0.1247  2 Ce 2.43-2.48
16 Tc 0.1247 0.5906 0.2780  2 Ce 2.43-2.48
17 Tc 0.2780 0.1247 0.5906  2 Ce 2.43-2.48
18 Tc 0.4094 0.7220 0.8753  2 Ce 2.43-2.48
19 Tc 0.8753 0.4094 0.7220  2 Ce 2.43-2.48

Computed properties:
* energy of formation: 3.3 kJ/mol of atoms